[1]
Entry from Alexandria via LeMat-Bulk: a relaxed GdLu crystal (PBE-GGA).

```
data_GdLu
_cell_length_a 3.958
_cell_length_b 3.958
_cell_length_c 3.958
_cell_angle_alpha 90.00
_cell_angle_beta 90.00
_cell_angle_gamma 90.00
_symmetry_space_group_name_H-M 'P m -3 m'
_symmetry_Int_Tables_number 221
_symmetry_space_group_name_Hall '-P 4 2 3'
loop_
_atom_site_label
_atom_site_type_symbol
_atom_site_fract_x
_atom_site_fract_y
_atom_site_fract_z
Gd1 Gd 0.000 0.000 0.000
Lu1 Lu 0.500 0.500 0.500
```

Calculated values
**Energy**: -18.42 eV/f.u.
**Density of states at the Fermi level**: 1.751 states/eV per atom

---

[2]
Entry from Alexandria via LeMat-Bulk: a relaxed TiTlRh3 crystal (PBE-GGA).

```
data_TiTlRh3
_cell_length_a 4.863
_cell_length_b 4.863
_cell_length_c 4.863
_cell_angle_alpha 90.00
_cell_angle_beta 90.00
_cell_angle_gamma 90.00
_symmetry_space_group_name_H-M 'P m -3 m'
_symmetry_Int_Tables_number 221
_symmetry_space_group_name_Hall '-P 4 2 3'
loop_
_atom_site_label
_atom_site_type_symbol
_atom_site_fract_x
_atom_site_fract_y
_atom_site_fract_z
Ti1 Ti 0.000 0.000 0.000
Tl1 Tl 0.500 0.500 0.500
Rh1 Rh 0.000 0.500 0.500
```

Calculated values
**Energy**: -25.00 eV/f.u.
**Density of states at the Fermi level**: 0.312 states/eV per atom

---

[3]
Entry from Alexandria via LeMat-Bulk: a relaxed PrRhN crystal (PBE-GGA).

```
data_PrRhN
_cell_length_a 5.426
_cell_length_b 3.517
_cell_length_c 10.736
_cell_angle_alpha 90.00
_cell_angle_beta 90.00
_cell_angle_gamma 90.00
_symmetry_space_group_name_H-M 'P n m a'
_symmetry_Int_Tables_number 62
loop_
_symmetry_equiv_pos_as_xyz
'x,y,z'
'-x,-y,-z'
'-x+1/2,-y,z+1/2'
'x+1/2,y,-z+1/2'
'x+1/2,-y+1/2,-z+1/2'
'-x+1/2,y+1/2,z+1/2'
'-x,y+1/2,-z'
'x,-y+1/2,z'
loop_
_atom_site_label
_atom_site_type_symbol
_atom_site_fract_x
_atom_site_fract_y
_atom_site_fract_z
Pr1 Pr 0.022 0.250 0.148
Rh1 Rh 0.013 0.750 0.407
N1 N 0.235 0.250 0.755
```

Calculated values
**Uncorrected formation energy**: -10.80 kcal/mol of atoms
**Energy**: -21.86 eV/f.u.
**Density of states at the Fermi level**: 0.716 states/eV per atom

---

[4]
Entry from Alexandria via LeMat-Bulk: a relaxed CaHfCo2W crystal (PBE-GGA).

```
data_CaHfCo2W
_cell_length_a 4.344
_cell_length_b 4.344
_cell_length_c 4.798
_cell_angle_alpha 90.00
_cell_angle_beta 90.00
_cell_angle_gamma 90.00
_symmetry_space_group_name_H-M 'P 4/m m m'
_symmetry_Int_Tables_number 123
_symmetry_space_group_name_Hall '-P 4 2'
loop_
_atom_site_label
_atom_site_type_symbol
_atom_site_fract_x
_atom_site_fract_y
_atom_site_fract_z
Ca1 Ca 0.000 0.000 0.000
Hf1 Hf 0.500 0.500 0.500
Co1 Co 0.000 0.500 0.000
W1 W 0.000 0.000 0.500
```

Calculated values
**Energy**: -29.75 eV/f.u.
**Density of states at the Fermi level**: 1.302 states/eV per atom

---

[5]
Entry from Alexandria via LeMat-Bulk: a relaxed BeNi2W crystal (PBE-GGA).

```
data_BeNi2W
_cell_length_a 3.553
_cell_length_b 3.553
_cell_length_c 7.300
_cell_angle_alpha 90.00
_cell_angle_beta 90.00
_cell_angle_gamma 90.00
_symmetry_space_group_name_H-M 'I 4/m m m'
_symmetry_Int_Tables_number 139
_symmetry_space_group_name_Hall '-I 4 2'
loop_
_atom_site_label
_atom_site_type_symbol
_atom_site_fract_x
_atom_site_fract_y
_atom_site_fract_z
Be1 Be 0.000 0.000 0.000
Ni1 Ni 0.000 0.500 0.250
W1 W 0.000 0.000 0.500
```

Calculated values
**Energy**: -28.29 eV/f.u.
**Density of states at the Fermi level**: 0.809 states/eV per atom

---

[6]
Entry from Alexandria via LeMat-Bulk: a relaxed CsCu2Cl6 crystal (PBE-GGA).

```
data_CsCu2Cl6
_cell_length_a 10.787
_cell_length_b 6.605
_cell_length_c 9.338
_cell_angle_alpha 90.00
_cell_angle_beta 120.23
_cell_angle_gamma 90.00
_symmetry_space_group_name_H-M 'C 1 2/m 1'
_symmetry_Int_Tables_number 12
loop_
_symmetry_equiv_pos_as_xyz
'x,y,z'
'-x,-y,-z'
'-x,y,-z'
'x,-y,z'
'x+1/2,y+1/2,z'
'-x+1/2,-y+1/2,-z'
'-x+1/2,y+1/2,-z'
'x+1/2,-y+1/2,z'
loop_
_atom_site_label
_atom_site_type_symbol
_atom_site_fract_x
_atom_site_fract_y
_atom_site_fract_z
Cs1 Cs 0.000 0.000 0.000
Cu1 Cu 0.121 0.500 0.432
Cl1 Cl 0.089 0.500 0.181
Cl2 Cl 0.121 0.500 0.676
Cl3 Cl 0.145 0.000 0.445
```

Calculated values
**Uncorrected formation energy**: -18.16 kcal/mol of atoms
**Energy**: -27.21 eV/f.u.
**Density of states at the Fermi level**: 0.491 states/eV per atom

---

[7]
Entry from Alexandria via LeMat-Bulk: a relaxed CdPO crystal (PBE-GGA).

```
data_CdPO
_cell_length_a 3.224
_cell_length_b 4.164
_cell_length_c 4.780
_cell_angle_alpha 64.28
_cell_angle_beta 89.88
_cell_angle_gamma 89.61
_symmetry_space_group_name_H-M 'P 1'
_symmetry_Int_Tables_number 1
loop_
_symmetry_equiv_pos_as_xyz
'x,y,z'
loop_
_atom_site_label
_atom_site_type_symbol
_atom_site_fract_x
_atom_site_fract_y
_atom_site_fract_z
Cd1 Cd 0.000 0.000 0.000
P1 P 0.500 0.608 0.784
O1 O 0.500 0.789 0.417
```

Calculated values
**Uncorrected formation energy**: -14.17 kcal/mol of atoms
**Energy**: -13.13 eV/f.u.
**Density of states at the Fermi level**: 0.194 states/eV per atom

---

[8]
Entry from Alexandria via LeMat-Bulk: a relaxed Th2GaNi3 crystal (PBE-GGA).

```
data_Th2GaNi3
_cell_length_a 7.488
_cell_length_b 8.515
_cell_length_c 14.538
_cell_angle_alpha 90.00
_cell_angle_beta 90.00
_cell_angle_gamma 90.00
_symmetry_space_group_name_H-M 'F m m m'
_symmetry_Int_Tables_number 69
_symmetry_space_group_name_Hall '-F 2 2'
loop_
_atom_site_label
_atom_site_type_symbol
_atom_site_fract_x
_atom_site_fract_y
_atom_site_fract_z
Th1 Th 0.240 0.000 0.000
Th2 Th 0.250 0.250 0.250
Ga1 Ga 0.000 0.000 0.334
Ni1 Ni 0.000 0.000 0.166
Ni2 Ni 0.000 0.246 0.416
```

Calculated values
**Energy**: -38.10 eV/f.u.
**Density of states at the Fermi level**: 0.903 states/eV per atom

---

[9]
Entry from Alexandria via LeMat-Bulk: a relaxed LiY2TiN crystal (PBE-GGA).

```
data_LiY2TiN
_cell_length_a 5.004
_cell_length_b 5.004
_cell_length_c 4.013
_cell_angle_alpha 90.00
_cell_angle_beta 90.00
_cell_angle_gamma 90.00
_symmetry_space_group_name_H-M 'P 4/m m m'
_symmetry_Int_Tables_number 123
_symmetry_space_group_name_Hall '-P 4 2'
loop_
_atom_site_label
_atom_site_type_symbol
_atom_site_fract_x
_atom_site_fract_y
_atom_site_fract_z
Li1 Li 0.000 0.000 0.000
Y1 Y 0.000 0.500 0.500
Ti1 Ti 0.500 0.500 0.000
N1 N 0.500 0.500 0.500
```

Calculated values
**Uncorrected formation energy**: -13.46 kcal/mol of atoms
**Energy**: -33.98 eV/f.u.
**Density of states at the Fermi level**: 0.953 states/eV per atom

---

[10]
Entry from Alexandria via LeMat-Bulk: a relaxed BaMgSn2S crystal (PBE-GGA).

```
data_BaMgSn2S
_cell_length_a 5.475
_cell_length_b 5.475
_cell_length_c 5.806
_cell_angle_alpha 90.00
_cell_angle_beta 90.00
_cell_angle_gamma 90.00
_symmetry_space_group_name_H-M 'P 4/m m m'
_symmetry_Int_Tables_number 123
_symmetry_space_group_name_Hall '-P 4 2'
loop_
_atom_site_label
_atom_site_type_symbol
_atom_site_fract_x
_atom_site_fract_y
_atom_site_fract_z
Ba1 Ba 0.000 0.000 0.000
Mg1 Mg 0.500 0.500 0.000
Sn1 Sn 0.000 0.500 0.500
S1 S 0.000 0.000 0.500
```

Calculated values
**Uncorrected formation energy**: -4.84 kcal/mol of atoms
**Energy**: -16.70 eV/f.u.
**Density of states at the Fermi level**: 0.406 states/eV per atom

---

[11]
Entry from Alexandria via LeMat-Bulk: a relaxed Al2CdMo crystal (PBE-GGA).

```
data_Al2CdMo
_cell_length_a 3.364
_cell_length_b 3.364
_cell_length_c 6.046
_cell_angle_alpha 90.00
_cell_angle_beta 90.00
_cell_angle_gamma 90.00
_symmetry_space_group_name_H-M 'P 4/m m m'
_symmetry_Int_Tables_number 123
_symmetry_space_group_name_Hall '-P 4 2'
loop_
_atom_site_label
_atom_site_type_symbol
_atom_site_fract_x
_atom_site_fract_y
_atom_site_fract_z
Al1 Al 0.000 0.000 0.213
Cd1 Cd 0.500 0.500 0.500
Mo1 Mo 0.500 0.500 0.000
```

Calculated values
**Energy**: -19.08 eV/f.u.
**Density of states at the Fermi level**: 0.831 states/eV per atom